Material: ErAlNO
Method: DFT, PBE
State: relaxed

a b c (Å): 3.777 3.777 8.264
angles (deg): 90.00 90.00 90.00
Each line ends with the local moment (μB).
Fractional coordinates of all 8 atoms:
Al (0.000, 0.000, 0.500)  0.02
Al (0.500, 0.500, 0.500)  0.02
Er (0.000, 0.500, 0.134)  0.22
Er (0.500, 0.000, 0.866)  0.22
N (0.000, 0.500, 0.434)  0.07
N (0.500, 0.000, 0.566)  0.07
O (0.000, 0.000, 0.000)  0.02
O (0.500, 0.500, 0.000)  0.02

Results
energy above the most stable polymorph in this dataset	0.099	eV per atom
calculated volume	14.7	Å³/atom



Material: ErAlNO
Method: DFT, PBE
State: relaxed

a b c (Å): 3.351 5.170 6.259
angles (deg): 90.00 90.00 90.00
Fractional coordinates of all 8 atoms:
Al (0.000, 0.503, 0.352)
Al (0.000, 0.003, 0.648)
Er (0.500, 0.968, 0.163)
Er (0.500, 0.468, 0.837)
N (0.000, 0.861, 0.379)
N (0.000, 0.361, 0.621)
O (0.500, 0.422, 0.220)
O (0.500, 0.922, 0.780)

Results
energy above the most stable polymorph in this dataset	0.114	eV per atom
calculated volume	13.6	Å³/atom



Material: ErAlNO
Method: DFT, PBE
State: relaxed

a b c (Å): 4.904 5.056 7.882
angles (deg): 90.00 90.00 90.00
Fractional coordinates of all 16 atoms:
Al (0.998, 0.049, 0.383)
Al (0.498, 0.451, 0.383)
Al (0.998, 0.549, 0.617)
Al (0.498, 0.951, 0.617)
Er (0.032, 0.510, 0.133)
Er (0.532, 0.990, 0.133)
Er (0.032, 0.010, 0.867)
Er (0.532, 0.490, 0.867)
N (0.033, 0.010, 0.156)
N (0.533, 0.490, 0.156)
N (0.033, 0.510, 0.844)
N (0.533, 0.990, 0.844)
O (0.639, 0.123, 0.437)
O (0.139, 0.377, 0.437)
O (0.639, 0.623, 0.563)
O (0.139, 0.877, 0.563)

Results
energy above the most stable polymorph in this dataset	0.035	eV per atom
calculated volume	12.2	Å³/atom



Material: ErAlNO
Method: DFT, PBE
State: relaxed

a b c (Å): 3.393 5.037 6.183
angles (deg): 90.00 90.00 90.00
Fractional coordinates of all 8 atoms:
Al (0.500, 0.993, 0.177)
Al (0.500, 0.493, 0.823)
Er (0.000, 0.469, 0.335)
Er (0.000, 0.969, 0.665)
N (0.000, 0.949, 0.306)
N (0.000, 0.449, 0.694)
O (0.500, 0.343, 0.089)
O (0.500, 0.843, 0.911)

Results
energy above the most stable polymorph in this dataset	0.000	eV per atom
calculated volume	13.2	Å³/atom



Material: ErAlNO
Method: DFT, PBE
State: relaxed

a b c (Å): 4.487 4.487 5.021
angles (deg): 90.00 90.00 90.00
Fractional coordinates of all 8 atoms:
Al (0.500, 0.500, 0.029)
Al (0.000, 0.000, 0.971)
Er (0.500, 0.000, 0.500)
Er (0.000, 0.500, 0.500)
N (0.500, 0.500, 0.397)
N (0.000, 0.000, 0.603)
O (0.500, 0.000, 0.000)
O (0.000, 0.500, 0.000)

Results
energy above the most stable polymorph in this dataset	0.355	eV per atom
calculated volume	12.6	Å³/atom



Material: NaErAlTe3
Method: DFT, PBE
State: relaxed

a b c (Å): 7.861 7.861 11.157
angles (deg): 90.00 90.00 148.73
Fractional coordinates of all 12 atoms:
Al (0.527, 0.473, 0.250)
Al (0.473, 0.527, 0.750)
Er (0.000, 0.000, 0.000)
Er (0.000, 0.000, 0.500)
Na (0.233, 0.767, 0.250)
Na (0.767, 0.233, 0.750)
Te (0.639, 0.361, 0.063)
Te (0.908, 0.092, 0.250)
Te (0.639, 0.361, 0.437)
Te (0.361, 0.639, 0.563)
Te (0.092, 0.908, 0.750)
Te (0.361, 0.639, 0.937)

Results
calculated volume	29.8	Å³/atom
VASP energy	-3.985	eV per atom



Material: ErNbAl
Method: DFT, PBE
State: relaxed

a b c (Å): 4.743 4.743 4.743
angles (deg): 60.00 60.00 60.00
Each line ends with the local moment (μB).
Fractional coordinates of all 3 atoms:
Al (0.500, 0.500, 0.500)  -0.04
Er (0.000, 0.000, 0.000)  0.57
Nb (0.250, 0.250, 0.250)  1.78

Results
energy above the most stable polymorph in this dataset	0.000	eV per atom
calculated volume	25.1	Å³/atom



Material: ErNbAl
Method: DFT, PBE
State: relaxed

a b c (Å): 4.833 4.833 4.833
angles (deg): 60.00 60.00 60.00
Fractional coordinates of all 3 atoms:
Al (0.250, 0.250, 0.250)
Er (0.000, 0.000, 0.000)
Nb (0.750, 0.750, 0.750)

Results
energy above the most stable polymorph in this dataset	0.347	eV per atom
calculated volume	26.6	Å³/atom



Material: Nd2Er2Al
Method: DFT, PBE
State: relaxed

a b c (Å): 6.869 6.869 6.869
angles (deg): 148.56 109.49 79.23
Each line ends with the local moment (μB).
Fractional coordinates of all 5 atoms:
Al (0.000, 0.000, 0.000)  0.00
Er (0.702, 0.500, 0.202)  0.12
Er (0.298, 0.500, 0.798)  0.12
Nd (0.750, 0.250, 0.500)  0.05
Nd (0.250, 0.750, 0.500)  0.05

Results
calculated volume	31.2	Å³/atom
VASP energy	-4.505	eV per atom



Material: NdErAl
Method: DFT, PBE
State: relaxed

a b c (Å): 5.073 5.073 5.073
angles (deg): 60.00 60.00 60.00
Fractional coordinates of all 3 atoms:
Al (0.250, 0.250, 0.250)
Er (0.000, 0.000, 0.000)
Nd (0.750, 0.750, 0.750)

Results
calculated volume	30.8	Å³/atom
VASP energy	-3.875	eV per atom



Material: Nd2Er2Al3
Method: DFT, PBE
State: relaxed

a b c (Å): 7.846 7.846 8.361
angles (deg): 118.06 118.06 25.72
Fractional coordinates of all 7 atoms:
Al (0.787, 0.787, 0.282)
Al (0.000, 0.000, 0.500)
Al (0.213, 0.213, 0.718)
Er (0.135, 0.135, 0.311)
Er (0.865, 0.865, 0.689)
Nd (0.393, 0.393, 0.120)
Nd (0.607, 0.607, 0.880)

Results
calculated volume	28.0	Å³/atom
VASP energy	-4.368	eV per atom



Material: NdErAl2Ni4
Method: DFT, PBE
State: relaxed

a b c (Å): 4.160 4.160 9.100
angles (deg): 90.00 90.00 120.00
Fractional coordinates of all 8 atoms:
Al (0.333, 0.667, 0.239)
Al (0.333, 0.667, 0.761)
Er (0.000, 0.000, 0.000)
Nd (0.667, 0.333, 0.500)
Ni (0.667, 0.333, 0.180)
Ni (0.000, 0.000, 0.298)
Ni (0.000, 0.000, 0.702)
Ni (0.667, 0.333, 0.820)

Results
calculated volume	17.0	Å³/atom
VASP energy	-5.448	eV per atom



Material: NdErAlOs2
Method: DFT, PBE
State: relaxed

a b c (Å): 5.671 5.671 5.671
angles (deg): 136.30 120.76 76.44
Fractional coordinates of all 5 atoms:
Al (0.999, 0.999, 0.000)
Er (0.703, 0.203, 0.500)
Nd (0.296, 0.796, 0.500)
Os (0.723, 0.501, 0.222)
Os (0.279, 0.501, 0.778)

Results
calculated volume	21.1	Å³/atom
VASP energy	-7.443	eV per atom



Material: NdEr2Al3Si2Pd
Method: DFT, PBE
State: relaxed

a b c (Å): 4.269 6.929 6.929
angles (deg): 120.24 90.00 90.00
Fractional coordinates of all 9 atoms:
Al (0.500, 0.998, 0.238)
Al (0.500, 0.764, 0.764)
Al (0.500, 0.238, 0.998)
Er (0.000, 0.584, 0.002)
Er (0.000, 0.002, 0.584)
Nd (0.000, 0.419, 0.419)
Pd (0.000, 0.990, 0.990)
Si (0.500, 0.674, 0.331)
Si (0.500, 0.331, 0.674)

Results
calculated volume	19.7	Å³/atom
VASP energy	-5.344	eV per atom



Material: Nd2ErAl3Si2Pd
Method: DFT, PBE
State: relaxed

a b c (Å): 4.312 7.010 7.010
angles (deg): 120.07 90.00 90.00
Fractional coordinates of all 9 atoms:
Al (0.500, 0.239, 0.239)
Al (0.500, 0.996, 0.763)
Al (0.500, 0.763, 0.996)
Er (0.000, 0.585, 0.585)
Nd (0.000, 0.419, 0.002)
Nd (0.000, 0.002, 0.419)
Pd (0.000, 0.990, 0.990)
Si (0.500, 0.664, 0.343)
Si (0.500, 0.343, 0.664)

Results
calculated volume	20.4	Å³/atom
VASP energy	-5.342	eV per atom



Material: NdEr2Al3Si2Pt
Method: DFT, PBE
State: relaxed

a b c (Å): 4.250 6.952 6.952
angles (deg): 120.19 90.00 90.00
Fractional coordinates of all 9 atoms:
Al (0.500, 0.998, 0.235)
Al (0.500, 0.764, 0.764)
Al (0.500, 0.235, 0.998)
Er (0.000, 0.585, 0.003)
Er (0.000, 0.003, 0.585)
Nd (0.000, 0.419, 0.419)
Pt (0.000, 0.988, 0.988)
Si (0.500, 0.675, 0.331)
Si (0.500, 0.331, 0.675)

Results
calculated volume	19.7	Å³/atom
VASP energy	-5.522	eV per atom



Material: Er3AlNi8
Method: DFT, PBE
State: relaxed

a b c (Å): 5.019 5.020 15.874
angles (deg): 90.00 90.00 120.00
Fractional coordinates of all 24 atoms:
Al (0.000, 0.000, 0.000)
Al (0.000, 0.000, 0.500)
Er (0.667, 0.333, 0.045)
Er (0.667, 0.333, 0.250)
Er (0.667, 0.333, 0.455)
Er (0.333, 0.667, 0.545)
Er (0.333, 0.667, 0.750)
Er (0.333, 0.667, 0.955)
Ni (0.169, 0.339, 0.125)
Ni (0.169, 0.831, 0.125)
Ni (0.661, 0.831, 0.125)
Ni (0.000, 0.000, 0.250)
Ni (0.333, 0.667, 0.250)
Ni (0.169, 0.831, 0.375)
Ni (0.661, 0.831, 0.375)
Ni (0.169, 0.339, 0.375)
Ni (0.831, 0.661, 0.625)
Ni (0.339, 0.169, 0.625)
Ni (0.831, 0.169, 0.625)
Ni (0.000, 0.000, 0.750)
Ni (0.667, 0.333, 0.750)
Ni (0.339, 0.169, 0.875)
Ni (0.831, 0.169, 0.875)
Ni (0.831, 0.661, 0.875)

Results
calculated volume	14.4	Å³/atom
VASP energy	-5.639	eV per atom



Material: Er3Al2Ni6
Method: DFT, PBE
State: relaxed

a b c (Å): 7.667 7.667 7.667
angles (deg): 109.47 109.47 109.47
Fractional coordinates of all 22 atoms:
Al (0.500, 0.000, 0.000)
Al (0.000, 0.500, 0.000)
Al (0.000, 0.000, 0.500)
Al (0.500, 0.500, 0.500)
Er (0.293, 0.293, 0.000)
Er (0.707, 0.707, 0.000)
Er (0.293, 0.000, 0.293)
Er (0.000, 0.293, 0.293)
Er (0.707, 0.000, 0.707)
Er (0.000, 0.707, 0.707)
Ni (0.665, 0.335, 0.000)
Ni (0.335, 0.665, 0.000)
Ni (0.665, 0.665, 0.331)
Ni (0.665, 0.000, 0.335)
Ni (0.669, 0.335, 0.335)
Ni (0.000, 0.665, 0.335)
Ni (0.335, 0.669, 0.335)
Ni (0.335, 0.000, 0.665)
Ni (0.665, 0.331, 0.665)
Ni (0.000, 0.335, 0.665)
Ni (0.331, 0.665, 0.665)
Ni (0.335, 0.335, 0.669)

Results
calculated volume	15.8	Å³/atom
VASP energy	-5.557	eV per atom



Material: Er2AlNi2
Method: DFT, PBE
State: relaxed

a b c (Å): 5.281 5.281 5.281
angles (deg): 133.35 119.09 80.06
Fractional coordinates of all 5 atoms:
Al (0.000, 0.000, 0.000)
Er (0.703, 0.203, 0.500)
Er (0.297, 0.797, 0.500)
Ni (0.733, 0.500, 0.233)
Ni (0.267, 0.500, 0.767)

Results
calculated volume	18.1	Å³/atom
VASP energy	-5.377	eV per atom



Material: Er3Al5Ni
Method: DFT, PBE
State: relaxed

a b c (Å): 6.906 6.906 4.275
angles (deg): 90.00 90.00 120.00
Fractional coordinates of all 9 atoms:
Al (0.230, 0.000, 0.500)
Al (0.000, 0.230, 0.500)
Al (0.667, 0.333, 0.500)
Al (0.333, 0.667, 0.500)
Al (0.770, 0.770, 0.500)
Er (0.595, 0.000, 0.000)
Er (0.405, 0.405, 0.000)
Er (0.000, 0.595, 0.000)
Ni (0.000, 0.000, 0.000)

Results
calculated volume	19.6	Å³/atom
VASP energy	-4.782	eV per atom